## 1
# In2HgTe | the Alexandria database | meta-GGA SCAN | PBEsol geometry
data_In2HgTe
_chemical_formula_sum 'In4 Hg2 Te2'
_symmetry_space_group_name_H-M 'I m m 2'
_symmetry_Int_Tables_number 44
_cell_length_a 4.028
_cell_length_b 4.531
_cell_length_c 11.947
_cell_angle_alpha 90.00
_cell_angle_beta 90.00
_cell_angle_gamma 90.00
loop_
_symmetry_equiv_pos_as_xyz
'x,y,z'
'-x,-y,z'
'-x,y,z'
'x,-y,z'
'x+1/2,y+1/2,z+1/2'
'-x+1/2,-y+1/2,z+1/2'
'-x+1/2,y+1/2,z+1/2'
'x+1/2,-y+1/2,z+1/2'
loop_
_atom_site_label
_atom_site_type_symbol
_atom_site_fract_x
_atom_site_fract_y
_atom_site_fract_z
In1 In 0.000 0.000 0.000
In2 In 0.000 0.500 0.273
Hg1 Hg 0.000 0.500 0.810
Te1 Te 0.000 0.000 0.575
# Theoretical density ... 8.5 Mg/m³
# DOS(E_F) ... 3.01 states/eV per cell
# Magnetization ... 0.00 μB per formula unit

***

## 2
# In2HgTe | the Alexandria database | meta-GGA SCAN | PBEsol geometry
data_In2HgTe
_chemical_formula_sum 'In2 Hg1 Te1'
_symmetry_space_group_name_H-M 'P 4/m m m'
_symmetry_Int_Tables_number 123
_symmetry_space_group_name_Hall '-P 4 2'
_cell_length_a 3.795
_cell_length_b 3.795
_cell_length_c 7.295
_cell_angle_alpha 90.00
_cell_angle_beta 90.00
_cell_angle_gamma 90.00
loop_
_atom_site_label
_atom_site_type_symbol
_atom_site_fract_x
_atom_site_fract_y
_atom_site_fract_z
In1 In 0.000 0.000 0.250
Hg1 Hg 0.500 0.500 0.000
Te1 Te 0.500 0.500 0.500
# Theoretical density ... 8.8 Mg/m³
# DOS(E_F) ... 1.64 states/eV per cell
# Magnetization ... 0.00 μB per formula unit

***

Stability summary: most stable 1, least stable 2.

***

## 1
# Tl2InHg | the Alexandria database | meta-GGA SCAN | PBEsol geometry
data_Tl2InHg
_chemical_formula_sum 'Tl4 In2 Hg2'
_symmetry_space_group_name_H-M 'C 1 2/m 1'
_symmetry_Int_Tables_number 12
_cell_length_a 5.852
_cell_length_b 3.271
_cell_length_c 11.114
_cell_angle_alpha 90.00
_cell_angle_beta 99.40
_cell_angle_gamma 90.00
loop_
_symmetry_equiv_pos_as_xyz
'x,y,z'
'-x,-y,-z'
'-x,y,-z'
'x,-y,z'
'x+1/2,y+1/2,z'
'-x+1/2,-y+1/2,-z'
'-x+1/2,y+1/2,-z'
'x+1/2,-y+1/2,z'
loop_
_atom_site_label
_atom_site_type_symbol
_atom_site_fract_x
_atom_site_fract_y
_atom_site_fract_z
Tl1 Tl 0.248 0.000 0.245
In1 In 0.000 0.000 0.500
Hg1 Hg 0.000 0.500 0.000
# Theoretical density ... 11.5 Mg/m³
# DOS(E_F) ... 3.85 states/eV per cell
# Magnetization ... 0.00 μB per formula unit

***

## 2
# Tl2InHg | the Alexandria database | meta-GGA SCAN | PBEsol geometry
data_Tl2InHg
_chemical_formula_sum 'Tl2 In1 Hg1'
_symmetry_space_group_name_H-M 'P 4 m m'
_symmetry_Int_Tables_number 99
_cell_length_a 3.593
_cell_length_b 3.593
_cell_length_c 8.129
_cell_angle_alpha 90.00
_cell_angle_beta 90.00
_cell_angle_gamma 90.00
loop_
_symmetry_equiv_pos_as_xyz
'x,y,z'
'-y,x,z'
'-x,-y,z'
'y,-x,z'
'-x,y,z'
'y,x,z'
'x,-y,z'
'-y,-x,z'
loop_
_atom_site_label
_atom_site_type_symbol
_atom_site_fract_x
_atom_site_fract_y
_atom_site_fract_z
Tl1 Tl 0.000 0.000 0.000
Tl2 Tl 0.500 0.500 0.279
In1 In 0.500 0.500 0.740
Hg1 Hg 0.000 0.000 0.523
# Theoretical density ... 11.5 Mg/m³
# DOS(E_F) ... 1.89 states/eV per cell
# Magnetization ... 0.00 μB per formula unit

***

## 3
# Tl2InHg | the Alexandria database | meta-GGA SCAN | PBEsol geometry
data_Tl2InHg
_chemical_formula_sum 'Tl6 In3 Hg3'
_symmetry_space_group_name_H-M 'R 3 m'
_symmetry_Int_Tables_number 160
_symmetry_space_group_name_Hall 'R 3 -2"'
_cell_length_a 3.3989
_cell_length_b 3.3989
_cell_length_c 31.3364
_cell_angle_alpha 90.00
_cell_angle_beta 90.00
_cell_angle_gamma 120.00
loop_
_atom_site_label
_atom_site_type_symbol
_atom_site_fract_x
_atom_site_fract_y
_atom_site_fract_z
Tl1 Tl 0.0000 0.0000 0.0000
Tl2 Tl 0.0000 0.0000 0.2439
In1 In 0.0000 0.0000 0.4919
Hg1 Hg 0.0000 0.0000 0.7484
# Theoretical density ... 11.5 Mg/m³
# DOS(E_F) ... 6.01 states/eV per cell
# Magnetization ... 0.00 μB per formula unit

***

## 4
# Tl2InHg | the Alexandria database | meta-GGA SCAN | PBEsol geometry
data_Tl2InHg
_chemical_formula_sum 'Tl4 In2 Hg2'
_symmetry_space_group_name_H-M 'I -4 m 2'
_symmetry_Int_Tables_number 119
_symmetry_space_group_name_Hall 'I -4 -2'
_cell_length_a 4.544
_cell_length_b 4.544
_cell_length_c 10.100
_cell_angle_alpha 90.00
_cell_angle_beta 90.00
_cell_angle_gamma 90.00
loop_
_atom_site_label
_atom_site_type_symbol
_atom_site_fract_x
_atom_site_fract_y
_atom_site_fract_z
Tl1 Tl 0.000 0.000 0.000
Tl2 Tl 0.000 0.500 0.250
In1 In 0.000 0.500 0.750
Hg1 Hg 0.000 0.000 0.500
# Theoretical density ... 11.5 Mg/m³
# DOS(E_F) ... 4.71 states/eV per cell
# Magnetization ... 0.00 μB per formula unit

***

Stability summary: most stable 2, least stable 4.

***

## 1
# Tl2InHg | the Alexandria database | meta-GGA SCAN | PBEsol geometry
data_Tl2InHg
_chemical_formula_sum 'Tl2 In1 Hg1'
_symmetry_space_group_name_H-M 'P 4/m m m'
_symmetry_Int_Tables_number 123
_symmetry_space_group_name_Hall '-P 4 2'
_cell_length_a 3.718
_cell_length_b 3.718
_cell_length_c 7.622
_cell_angle_alpha 90.00
_cell_angle_beta 90.00
_cell_angle_gamma 90.00
loop_
_atom_site_label
_atom_site_type_symbol
_atom_site_fract_x
_atom_site_fract_y
_atom_site_fract_z
Tl1 Tl 0.000 0.000 0.243
In1 In 0.500 0.500 0.500
Hg1 Hg 0.500 0.500 0.000
# Theoretical density ... 11.4 Mg/m³
# DOS(E_F) ... 1.98 states/eV per cell
# Magnetization ... 0.00 μB per formula unit

***

## 2
# Tl2InHg | the Alexandria database | meta-GGA SCAN | PBEsol geometry
data_Tl2InHg
_chemical_formula_sum 'Tl4 In2 Hg2'
_symmetry_space_group_name_H-M 'C 1 2/m 1'
_symmetry_Int_Tables_number 12
_cell_length_a 6.562
_cell_length_b 10.339
_cell_length_c 3.286
_cell_angle_alpha 90.00
_cell_angle_beta 108.64
_cell_angle_gamma 90.00
loop_
_symmetry_equiv_pos_as_xyz
'x,y,z'
'-x,-y,-z'
'-x,y,-z'
'x,-y,z'
'x+1/2,y+1/2,z'
'-x+1/2,-y+1/2,-z'
'-x+1/2,y+1/2,-z'
'x+1/2,-y+1/2,z'
loop_
_atom_site_label
_atom_site_type_symbol
_atom_site_fract_x
_atom_site_fract_y
_atom_site_fract_z
Tl1 Tl 0.250 0.250 0.000
In1 In 0.000 0.000 0.500
Hg1 Hg 0.000 0.500 0.500
# Theoretical density ... 11.4 Mg/m³
# DOS(E_F) ... 3.44 states/eV per cell
# Magnetization ... 0.00 μB per formula unit

***

Stability summary: most stable 2, least stable 1.

***

## 1
# KHg2Ir | the Alexandria database | meta-GGA SCAN | PBEsol geometry
data_KHg2Ir
_chemical_formula_sum 'K3 Hg6 Ir3'
_symmetry_space_group_name_H-M 'R -3 m'
_symmetry_Int_Tables_number 166
_symmetry_space_group_name_Hall '-R 3 2"'
_cell_length_a 3.0392
_cell_length_b 3.0392
_cell_length_c 30.7707
_cell_angle_alpha 90.00
_cell_angle_beta 90.00
_cell_angle_gamma 120.00
loop_
_atom_site_label
_atom_site_type_symbol
_atom_site_fract_x
_atom_site_fract_y
_atom_site_fract_z
K1 K 0.0000 0.0000 0.0000
Hg1 Hg 0.0000 0.0000 0.2400
Ir1 Ir 0.0000 0.0000 0.5000
# Theoretical density ... 12.8 Mg/m³
# DOS(E_F) ... 8.65 states/eV per cell
# Magnetization ... 0.00 μB per formula unit

***

## 2
# KHg2Ir | the Alexandria database | meta-GGA SCAN | PBEsol geometry
data_KHg2Ir
_chemical_formula_sum 'K4 Hg8 Ir4'
_symmetry_space_group_name_H-M 'F m -3 m'
_symmetry_Int_Tables_number 225
_symmetry_space_group_name_Hall '-F 4 2 3'
_cell_length_a 6.929
_cell_length_b 6.929
_cell_length_c 6.929
_cell_angle_alpha 90.00
_cell_angle_beta 90.00
_cell_angle_gamma 90.00
loop_
_atom_site_label
_atom_site_type_symbol
_atom_site_fract_x
_atom_site_fract_y
_atom_site_fract_z
K1 K 0.000 0.000 0.000
Hg1 Hg 0.250 0.250 0.250
Ir1 Ir 0.000 0.000 0.500
# Theoretical density ... 12.6 Mg/m³
# DOS(E_F) ... 6.62 states/eV per cell
# Magnetization ... 0.00 μB per formula unit

***

Stability summary: most stable 2, least stable 1.

***

## 1
# MgHg2Ir | the Alexandria database | meta-GGA SCAN | PBEsol geometry
data_MgHg2Ir
_chemical_formula_sum 'Mg4 Hg8 Ir4'
_symmetry_space_group_name_H-M 'F -4 3 m'
_symmetry_Int_Tables_number 216
_symmetry_space_group_name_Hall 'F -4 2 3'
_cell_length_a 6.583
_cell_length_b 6.583
_cell_length_c 6.583
_cell_angle_alpha 90.00
_cell_angle_beta 90.00
_cell_angle_gamma 90.00
loop_
_atom_site_label
_atom_site_type_symbol
_atom_site_fract_x
_atom_site_fract_y
_atom_site_fract_z
Mg1 Mg 0.000 0.000 0.000
Hg1 Hg 0.000 0.000 0.500
Hg2 Hg 0.250 0.250 0.750
Ir1 Ir 0.250 0.250 0.250
# Theoretical density ... 14.4 Mg/m³
# DOS(E_F) ... 8.05 states/eV per cell
# Magnetization ... 0.00 μB per formula unit

***

## 2
# MgHg2Ir | the Alexandria database | meta-GGA SCAN | PBEsol geometry
data_MgHg2Ir
_chemical_formula_sum 'Mg1 Hg2 Ir1'
_symmetry_space_group_name_H-M 'P m m m'
_symmetry_Int_Tables_number 47
_cell_length_a 3.090
_cell_length_b 3.962
_cell_length_c 5.793
_cell_angle_alpha 90.00
_cell_angle_beta 90.00
_cell_angle_gamma 90.00
loop_
_symmetry_equiv_pos_as_xyz
'x,y,z'
'-x,-y,-z'
'-x,-y,z'
'x,y,-z'
'x,-y,-z'
'-x,y,z'
'-x,y,-z'
'x,-y,z'
loop_
_atom_site_label
_atom_site_type_symbol
_atom_site_fract_x
_atom_site_fract_y
_atom_site_fract_z
Mg1 Mg 0.000 0.000 0.000
Hg1 Hg 0.500 0.500 0.255
Ir1 Ir 0.000 0.000 0.500
# Theoretical density ... 14.5 Mg/m³
# DOS(E_F) ... 1.44 states/eV per cell
# Magnetization ... 0.00 μB per formula unit

***

## 3
# MgHg2Ir | the Alexandria database | meta-GGA SCAN | PBEsol geometry
data_MgHg2Ir
_chemical_formula_sum 'Mg1 Hg2 Ir1'
_symmetry_space_group_name_H-M 'P 4/m m m'
_symmetry_Int_Tables_number 123
_symmetry_space_group_name_Hall '-P 4 2'
_cell_length_a 4.162
_cell_length_b 4.162
_cell_length_c 4.029
_cell_angle_alpha 90.00
_cell_angle_beta 90.00
_cell_angle_gamma 90.00
loop_
_atom_site_label
_atom_site_type_symbol
_atom_site_fract_x
_atom_site_fract_y
_atom_site_fract_z
Mg1 Mg 0.000 0.000 0.000
Hg1 Hg 0.000 0.500 0.500
Ir1 Ir 0.500 0.500 0.000
# Theoretical density ... 14.7 Mg/m³
# DOS(E_F) ... 1.47 states/eV per cell
# Magnetization ... 0.00 μB per formula unit

***

Stability summary: most stable 3, least stable 1.

***

## 1
# MgHg2Ir | the Alexandria database | meta-GGA SCAN | PBEsol geometry
data_MgHg2Ir
_chemical_formula_sum 'Mg2 Hg4 Ir2'
_symmetry_space_group_name_H-M 'C 1 2/m 1'
_symmetry_Int_Tables_number 12
_cell_length_a 5.796
_cell_length_b 9.552
_cell_length_c 3.091
_cell_angle_alpha 90.00
_cell_angle_beta 121.26
_cell_angle_gamma 90.00
loop_
_symmetry_equiv_pos_as_xyz
'x,y,z'
'-x,-y,-z'
'-x,y,-z'
'x,-y,z'
'x+1/2,y+1/2,z'
'-x+1/2,-y+1/2,-z'
'-x+1/2,y+1/2,-z'
'x+1/2,-y+1/2,z'
loop_
_atom_site_label
_atom_site_type_symbol
_atom_site_fract_x
_atom_site_fract_y
_atom_site_fract_z
Mg1 Mg 0.000 0.000 0.000
Hg1 Hg 0.250 0.250 0.500
Ir1 Ir 0.000 0.500 0.000
# Theoretical density ... 14.0 Mg/m³
# DOS(E_F) ... 3.11 states/eV per cell
# Magnetization ... 0.00 μB per formula unit

***

## 2
# MgHg2Ir | the Alexandria database | meta-GGA SCAN | PBEsol geometry
data_MgHg2Ir
_chemical_formula_sum 'Mg2 Hg4 Ir2'
_symmetry_space_group_name_H-M 'I -4 m 2'
_symmetry_Int_Tables_number 119
_symmetry_space_group_name_Hall 'I -4 -2'
_cell_length_a 4.029
_cell_length_b 4.029
_cell_length_c 8.664
_cell_angle_alpha 90.00
_cell_angle_beta 90.00
_cell_angle_gamma 90.00
loop_
_atom_site_label
_atom_site_type_symbol
_atom_site_fract_x
_atom_site_fract_y
_atom_site_fract_z
Mg1 Mg 0.000 0.000 0.000
Hg1 Hg 0.000 0.000 0.500
Hg2 Hg 0.000 0.500 0.750
Ir1 Ir 0.000 0.500 0.250
# Theoretical density ... 14.6 Mg/m³
# DOS(E_F) ... 2.89 states/eV per cell
# Magnetization ... 0.00 μB per formula unit

***

Stability summary: most stable 2, least stable 1.